Entry from Alexandria via LeMat-Bulk: a relaxed AcSbH2 crystal (PBE).

Fermi-level density of states (states/eV per atom): 0.456
Calculated density (g cm⁻³): 7.3
E above lowest polymorph (meV per atom): 0
Magnetic moment (μB/f.u.): 0.000

Cell lengths 4.178, 7.079, 5.653 Å; angles 90.00, 90.00, 107.15 degrees
Fractional positions:
H1 0.717 0.435 0.939
H2 0.283 0.565 0.061
Ac1 0.168 0.337 0.750
H3 0.283 0.565 0.439
Ac2 0.832 0.663 0.250
Sb1 0.546 0.093 0.250
H4 0.717 0.435 0.561
Sb2 0.454 0.907 0.750

---

Entry from Alexandria via LeMat-Bulk: a relaxed Sr4Ac2Sb3H2 crystal (PBE).

Raw total energy (Ha/atom): -0.1428
Fermi-level density of states (states/eV per atom): 0.370
Calculated density (g cm⁻³): 5.8
Magnetic moment (μB/f.u.): 0.000

Cell lengths 5.037, 5.037, 13.803 Å; angles 100.51, 100.51, 90.00 degrees
Fractional positions:
Sb1 0.171 0.171 0.343
H1 0.399 0.399 0.798
Sb2 0.829 0.829 0.657
Sr1 0.581 0.081 0.162
Sb3 0.000 0.000 0.000
Sr2 0.081 0.581 0.162
Ac1 0.701 0.701 0.403
Ac2 0.299 0.299 0.597
H2 0.601 0.601 0.202
Sr3 0.419 0.919 0.838
Sr4 0.919 0.419 0.838

---

Entry from Alexandria via LeMat-Bulk: a relaxed AcSc2H crystal (PBE).

Raw total energy (Ha/atom): -0.1831
Fermi-level density of states (states/eV per atom): 1.247
Calculated density (g cm⁻³): 5.6
Magnetic moment (μB/f.u.): 0.000

Cell lengths 3.433, 3.433, 9.422 Å; angles 79.50, 79.50, 60.00 degrees
Fractional positions:
Sc1 0.124 0.124 0.628
Ac1 0.000 0.000 0.000
H1 0.500 0.500 0.500
Sc2 0.876 0.876 0.372

---

Entry from Alexandria via LeMat-Bulk: a relaxed Ac3ScH crystal (PBE).

Raw total energy (Ha/atom): -0.1635
Fermi-level density of states (states/eV per atom): 1.172
Calculated density (g cm⁻³): 7.6
Magnetic moment (μB/f.u.): 0.000

Cell lengths 5.418, 5.418, 5.418 Å; angles 90.00, 90.00, 90.00 degrees
Fractional positions:
Ac1 0.000 0.500 0.000
H1 0.000 0.000 0.000
Ac2 0.000 0.000 0.500
Sc1 0.500 0.500 0.500
Ac3 0.500 0.000 0.000

---

Entry from Alexandria via LeMat-Bulk: a relaxed Ac2ScH crystal (PBE).

Raw total energy (Ha/atom): -0.1568
Fermi-level density of states (states/eV per atom): 1.431
Calculated density (g cm⁻³): 7.1
Magnetic moment (μB/f.u.): 0.583

Cell lengths 3.673, 3.673, 10.215 Å; angles 79.64, 79.64, 60.00 degrees
Fractional positions:
Ac1 0.888 0.888 0.336
Sc1 0.000 0.000 0.000
Ac2 0.112 0.112 0.664
H1 0.500 0.500 0.500

---

Entry from Alexandria via LeMat-Bulk: a relaxed AcHSe2 crystal (PBE).

Fermi-level density of states (states/eV per atom): 0.000
Calculated density (g cm⁻³): 6.4
E above lowest polymorph (meV per atom): 1
Magnetic moment (μB/f.u.): 0.000

Cell lengths 5.773, 8.414, 8.318 Å; angles 90.00, 97.33, 90.00 degrees
Fractional positions:
H1 0.390 0.668 0.570
Se1 0.858 0.212 0.996
Se2 0.142 0.712 0.504
H2 0.390 0.832 0.070
Ac1 0.173 0.045 0.298
H3 0.610 0.332 0.430
H4 0.610 0.168 0.930
Se3 0.322 0.386 0.173
Se4 0.858 0.288 0.496
Se5 0.322 0.114 0.673
Ac2 0.173 0.455 0.798
Se6 0.678 0.886 0.327
Se7 0.678 0.614 0.827
Ac3 0.827 0.955 0.702
Se8 0.142 0.788 0.004
Ac4 0.827 0.545 0.202

---

Entry from Alexandria via LeMat-Bulk: a relaxed AcHSe crystal (PBE).

Fermi-level density of states (states/eV per atom): 0.000
Calculated density (g cm⁻³): 6.1
E above lowest polymorph (meV per atom): 275
Magnetic moment (μB/f.u.): 0.000

Cell lengths 4.900, 4.900, 4.900 Å; angles 60.00, 60.00, 60.00 degrees
Fractional positions:
Se1 0.000 0.000 0.000
Ac1 0.250 0.250 0.250
H1 0.500 0.500 0.500

---

Entry from Alexandria via LeMat-Bulk: a relaxed AcHSe crystal (PBE).

Fermi-level density of states (states/eV per atom): 0.098
Calculated density (g cm⁻³): 6.5
E above lowest polymorph (meV per atom): 316
Magnetic moment (μB/f.u.): 0.253

Cell lengths 7.432, 8.077, 12.489 Å; angles 63.91, 106.37, 109.25 degrees
Fractional positions:
H1 0.959 0.138 0.576
Ac1 0.682 0.377 0.753
Ac2 0.151 0.338 0.692
H2 0.892 0.885 0.298
H3 0.537 0.370 0.184
H4 0.311 0.054 0.785
Se1 0.461 0.301 0.949
Se2 0.052 0.531 0.208
Ac3 0.183 0.302 0.095
H5 0.062 0.507 0.474
H6 0.380 0.617 0.014
Se3 0.090 0.996 0.350
Ac4 0.737 0.335 0.389
Se4 0.428 0.315 0.525
Se5 0.922 0.074 0.922
H7 0.955 0.574 0.637
Ac5 0.290 0.878 0.012
Se6 0.993 0.631 0.874
Ac6 0.706 0.639 0.018
Ac7 0.156 0.898 0.629
Se7 0.632 0.744 0.221
Ac8 0.361 0.735 0.380
Se8 0.474 0.722 0.645
H8 0.585 0.037 0.371

---

Entry from Alexandria via LeMat-Bulk: a relaxed AcHSe crystal (PBE).

Fermi-level density of states (states/eV per atom): 0.000
Calculated density (g cm⁻³): 7.6
E above lowest polymorph (meV per atom): 0
Magnetic moment (μB/f.u.): 0.000

Cell lengths 4.257, 4.257, 4.257 Å; angles 120.00, 90.00, 90.00 degrees
Fractional positions:
Se1 0.667 0.333 0.667
H1 0.166 0.000 0.000
Ac1 0.167 0.667 0.333

---

Entry from Alexandria via LeMat-Bulk: a relaxed AcHSe crystal (PBE).

Fermi-level density of states (states/eV per atom): 0.185
Calculated density (g cm⁻³): 7.0
E above lowest polymorph (meV per atom): 468
Magnetic moment (μB/f.u.): 0.000

Cell lengths 4.144, 4.144, 5.156 Å; angles 113.69, 113.69, 90.00 degrees
Fractional positions:
Se1 0.276 0.276 0.552
H1 0.932 0.932 0.864
Ac1 0.642 0.642 0.284

---

Entry from Alexandria via LeMat-Bulk: a relaxed AcHSe2 crystal (PBE).

Fermi-level density of states (states/eV per atom): 0.000
Calculated density (g cm⁻³): 6.5
E above lowest polymorph (meV per atom): 0
Magnetic moment (μB/f.u.): 0.000

Cell lengths 6.375, 7.230, 9.654 Å; angles 117.16, 90.00, 90.00 degrees
Fractional positions:
Se1 0.514 0.224 0.761
Ac1 0.249 0.289 0.071
Se2 0.986 0.724 0.261
Ac2 0.749 0.211 0.429
Se3 0.755 0.186 0.104
Ac3 0.751 0.711 0.929
Se4 0.745 0.686 0.604
Ac4 0.251 0.789 0.571
Se5 0.486 0.776 0.239
H1 0.306 0.878 0.202
H2 0.194 0.378 0.702
H3 0.806 0.622 0.298
Se6 0.245 0.814 0.896
Se7 0.014 0.276 0.739
H4 0.694 0.122 0.798
Se8 0.255 0.314 0.396

---

Entry from Alexandria via LeMat-Bulk: a relaxed AcHSe crystal (PBE).

Fermi-level density of states (states/eV per atom): 0.265
Calculated density (g cm⁻³): 6.7
E above lowest polymorph (meV per atom): 512
Magnetic moment (μB/f.u.): 0.000

Cell lengths 4.749, 4.749, 7.521 Å; angles 71.59, 71.59, 89.99 degrees
Fractional positions:
Ac1 0.259 0.199 0.400
Se1 0.904 0.344 0.108
Se2 0.404 0.844 0.109
H1 0.654 0.094 0.609
Ac2 0.550 0.490 0.817
H2 0.154 0.595 0.608

---

- Which value of Fermi-level density of states does entry 4 give?
  1.172 states/eV per atom

---

- What is the formula in the third record?
  AcSc2H

---

- Number 7 is which compound?
  AcHSe